(1)
{"formula": "Tb5Ga2Sn2", "functional": "PBE", "state": "relaxed", "delta_e_f_ev_per_atom": -0.6368, "m_tot_mub_per_fu": 0.00, "energy_ha_per_atom": -0.1753, "crystal_system": "orthorhombic", "lattice": [[7.878, 0.000, 0.000], [0.000, 8.009, 0.000], [0.000, -4.004, 7.771]], "species": ["Tb", "Tb", "Tb", "Tb", "Tb", "Tb", "Tb", "Tb", "Tb", "Tb", "Ga", "Ga", "Ga", "Ga", "Sn", "Sn", "Sn", "Sn"], "fractional_positions": [[0.000, 0.000, 0.000], [0.500, 0.500, 0.000], [0.826, 0.812, 0.267], [0.174, 0.455, 0.267], [0.326, 0.955, 0.267], [0.674, 0.312, 0.267], [0.174, 0.188, 0.733], [0.826, 0.545, 0.733], [0.674, 0.045, 0.733], [0.326, 0.688, 0.733], [0.620, 0.881, 0.000], [0.380, 0.119, 0.000], [0.120, 0.619, 0.000], [0.880, 0.381, 0.000], [0.000, 0.210, 0.421], [0.500, 0.710, 0.421], [0.000, 0.790, 0.579], [0.500, 0.290, 0.579]]}

(2)
{"formula": "Tb7Ga2Sn2", "functional": "PBE", "state": "relaxed", "delta_e_f_ev_per_atom": -0.2347, "m_tot_mub_per_fu": 0.00, "energy_ha_per_atom": -0.1639, "crystal_system": "orthorhombic", "lattice": [[-6.016, 2.715, -1.047], [0.004, -2.792, -7.262], [-0.676, -6.206, 2.385]], "species": ["Tb", "Tb", "Tb", "Tb", "Tb", "Tb", "Tb", "Ga", "Ga", "Sn", "Sn"], "fractional_positions": [[0.000, 0.295, 0.500], [0.500, 0.705, 0.000], [0.000, 0.705, 0.500], [0.500, 0.295, 0.000], [0.000, 0.000, 0.000], [0.500, 0.718, 0.500], [0.500, 0.282, 0.500], [0.832, 0.500, 0.832], [0.168, 0.500, 0.168], [0.701, 0.000, 0.299], [0.299, 0.000, 0.701]]}

(3)
{"formula": "TbGaSn", "functional": "PBE", "state": "relaxed", "delta_e_f_ev_per_atom": -0.3036, "m_tot_mub_per_fu": 0.00, "energy_ha_per_atom": -0.1540, "crystal_system": "tetragonal", "lattice": [[4.252, 0.000, 0.000], [0.000, 4.252, 0.000], [-2.126, -2.126, 4.330]], "species": ["Tb", "Sn", "Ga"], "fractional_positions": [[0.622, 0.622, 0.244], [0.271, 0.271, 0.542], [0.957, 0.957, 0.914]]}

(4)
{"formula": "Tb3GaSn", "functional": "PBE", "state": "relaxed", "delta_e_f_ev_per_atom": -0.3341, "m_tot_mub_per_fu": 0.00, "energy_ha_per_atom": -0.1660, "crystal_system": "orthorhombic", "lattice": [[5.867, 0.000, 0.000], [0.000, 8.357, 0.000], [0.000, 0.000, 10.978]], "species": ["Tb", "Tb", "Tb", "Tb", "Tb", "Tb", "Tb", "Tb", "Tb", "Tb", "Tb", "Tb", "Ga", "Ga", "Ga", "Ga", "Sn", "Sn", "Sn", "Sn"], "fractional_positions": [[0.999, 0.127, 0.105], [0.501, 0.627, 0.605], [0.501, 0.627, 0.895], [0.001, 0.873, 0.605], [0.001, 0.873, 0.895], [0.499, 0.373, 0.395], [0.499, 0.373, 0.105], [0.999, 0.127, 0.395], [0.253, 0.245, 0.750], [0.247, 0.745, 0.250], [0.747, 0.755, 0.250], [0.753, 0.255, 0.750], [0.009, 0.573, 0.750], [0.491, 0.073, 0.250], [0.991, 0.427, 0.250], [0.509, 0.927, 0.750], [0.000, 0.500, 0.000], [0.500, 0.000, 0.500], [0.500, 0.000, 0.000], [0.000, 0.500, 0.500]]}

(5)
{"formula": "TbGaSn3", "functional": "PBE", "state": "relaxed", "delta_e_f_ev_per_atom": -0.3222, "m_tot_mub_per_fu": 0.00, "energy_ha_per_atom": -0.1564, "crystal_system": "orthorhombic", "lattice": [[6.400, 0.000, 0.000], [0.000, 6.272, 0.000], [0.000, 0.000, 12.572]], "species": ["Tb", "Tb", "Tb", "Tb", "Ga", "Ga", "Ga", "Ga", "Sn", "Sn", "Sn", "Sn", "Sn", "Sn", "Sn", "Sn", "Sn", "Sn", "Sn", "Sn"], "fractional_positions": [[0.750, 0.517, 0.696], [0.250, 0.483, 0.304], [0.750, 0.017, 0.304], [0.250, 0.983, 0.696], [0.500, 0.250, 0.120], [0.000, 0.750, 0.880], [0.500, 0.750, 0.880], [0.000, 0.250, 0.120], [0.000, 0.250, 0.501], [0.500, 0.750, 0.499], [0.000, 0.750, 0.499], [0.500, 0.250, 0.501], [0.250, 0.151, 0.936], [0.750, 0.849, 0.064], [0.250, 0.651, 0.064], [0.750, 0.349, 0.936], [0.250, 0.478, 0.734], [0.750, 0.522, 0.266], [0.250, 0.978, 0.266], [0.750, 0.022, 0.734]]}

(6)
{"formula": "Tb5Ga12Sn3", "functional": "PBE", "state": "relaxed", "delta_e_f_ev_per_atom": 0.1099, "m_tot_mub_per_fu": 0.00, "energy_ha_per_atom": -0.1273, "crystal_system": "cubic", "lattice": [[14.444, 0.000, 0.000], [-4.815, 13.618, 0.000], [-4.815, -6.809, 11.794]], "species": ["Sn", "Sn", "Sn", "Sn", "Sn", "Sn", "Sn", "Sn", "Sn", "Sn", "Sn", "Sn", "Tb", "Tb", "Tb", "Tb", "Tb", "Tb", "Tb", "Tb", "Tb", "Tb", "Tb", "Tb", "Tb", "Tb", "Tb", "Tb", "Tb", "Tb", "Tb", "Tb", "Ga", "Ga", "Ga", "Ga", "Ga", "Ga", "Ga", "Ga", "Ga", "Ga", "Ga", "Ga", "Ga", "Ga", "Ga", "Ga", "Ga", "Ga", "Ga", "Ga", "Ga", "Ga", "Ga", "Ga", "Ga", "Ga", "Ga", "Ga", "Ga", "Ga", "Ga", "Ga", "Ga", "Ga", "Ga", "Ga", "Ga", "Ga", "Ga", "Ga", "Ga", "Ga", "Ga", "Ga", "Ga", "Ga", "Ga", "Ga"], "fractional_positions": [[0.750, 0.375, 0.125], [0.875, 0.750, 0.125], [0.375, 0.750, 0.625], [0.250, 0.125, 0.375], [0.875, 0.125, 0.250], [0.375, 0.625, 0.250], [0.625, 0.375, 0.750], [0.125, 0.875, 0.750], [0.750, 0.875, 0.625], [0.625, 0.250, 0.375], [0.125, 0.250, 0.875], [0.250, 0.625, 0.875], [0.125, 0.375, 0.250], [0.000, 0.500, 0.000], [0.000, 0.000, 0.000], [0.375, 0.250, 0.125], [0.500, 0.000, 0.500], [0.500, 0.500, 0.000], [0.125, 0.750, 0.375], [0.750, 0.125, 0.875], [0.750, 0.625, 0.375], [0.375, 0.125, 0.750], [0.625, 0.875, 0.250], [0.500, 0.500, 0.500], [0.500, 0.000, 0.000], [0.000, 0.000, 0.500], [0.250, 0.375, 0.625], [0.250, 0.875, 0.125], [0.000, 0.500, 0.500], [0.875, 0.250, 0.625], [0.625, 0.750, 0.875], [0.875, 0.625, 0.750], [0.734, 0.152, 0.083], [0.349, 0.583, 0.431], [0.917, 0.348, 0.266], [0.583, 0.234, 0.152], [0.582, 0.734, 0.651], [0.917, 0.569, 0.151], [0.349, 0.766, 0.418], [0.069, 0.918, 0.152], [0.569, 0.917, 0.651], [0.734, 0.582, 0.151], [0.766, 0.417, 0.348], [0.849, 0.931, 0.083], [0.152, 0.734, 0.583], [0.348, 0.431, 0.082], [0.082, 0.931, 0.348], [0.418, 0.152, 0.569], [0.082, 0.151, 0.234], [0.417, 0.651, 0.069], [0.849, 0.918, 0.266], [0.152, 0.418, 0.069], [0.348, 0.917, 0.766], [0.569, 0.652, 0.418], [0.931, 0.849, 0.583], [0.766, 0.349, 0.918], [0.431, 0.348, 0.582], [0.069, 0.151, 0.417], [0.234, 0.651, 0.082], [0.151, 0.082, 0.734], [0.652, 0.083, 0.234], [0.848, 0.582, 0.931], [0.583, 0.349, 0.931], [0.582, 0.848, 0.431], [0.918, 0.849, 0.766], [0.918, 0.069, 0.652], [0.848, 0.266, 0.417], [0.151, 0.069, 0.917], [0.652, 0.569, 0.918], [0.431, 0.083, 0.349], [0.266, 0.418, 0.849], [0.234, 0.583, 0.652], [0.931, 0.082, 0.848], [0.651, 0.234, 0.582], [0.417, 0.766, 0.848], [0.083, 0.431, 0.849], [0.418, 0.266, 0.349], [0.083, 0.652, 0.734], [0.651, 0.417, 0.569], [0.266, 0.848, 0.917]]}

(7)
{"formula": "TbGaSn2", "functional": "PBE", "state": "relaxed", "delta_e_f_ev_per_atom": -0.4731, "polymorph_energy_ev_per_atom": 0.003, "m_tot_mub_per_fu": 0.00, "energy_ha_per_atom": -0.1613, "crystal_system": "tetragonal", "lattice": [[4.728, 0.000, 0.000], [0.000, 4.527, 0.000], [0.000, 0.000, 4.527]], "species": ["Tb", "Sn", "Sn", "Ga"], "fractional_positions": [[0.500, 0.000, 0.000], [0.000, 0.000, 0.500], [0.000, 0.500, 0.000], [0.500, 0.500, 0.500]]}

(8)
{"formula": "Tb4GaSn3", "functional": "PBE", "state": "relaxed", "delta_e_f_ev_per_atom": -0.7238, "m_tot_mub_per_fu": 0.00, "energy_ha_per_atom": -0.1807, "crystal_system": "orthorhombic", "lattice": [[-3.963, 1.152, -1.820], [1.344, -1.352, -3.783], [-4.044, -10.343, 2.259]], "species": ["Tb", "Tb", "Tb", "Tb", "Ga", "Sn", "Sn", "Sn"], "fractional_positions": [[0.500, 0.500, 0.355], [0.000, 0.500, 0.867], [0.000, 0.000, 0.133], [0.500, 0.000, 0.637], [0.500, 0.500, 0.087], [0.000, 0.500, 0.593], [0.000, 0.000, 0.407], [0.500, 0.000, 0.920]]}

(9)
{"formula": "Tb5GaSn2", "functional": "PBE", "state": "relaxed", "delta_e_f_ev_per_atom": -0.4503, "m_tot_mub_per_fu": 0.00, "energy_ha_per_atom": -0.1736, "crystal_system": "tetragonal", "lattice": [[6.808, 0.000, -0.002], [0.000, 6.808, -0.002], [-3.404, -3.404, 4.610]], "species": ["Tb", "Tb", "Tb", "Tb", "Tb", "Ga", "Sn", "Sn"], "fractional_positions": [[0.722, 0.222, 0.945], [0.222, 0.222, 0.944], [0.722, 0.722, 0.944], [0.222, 0.722, 0.944], [0.722, 0.722, 0.444], [0.222, 0.222, 0.444], [0.222, 0.722, 0.444], [0.722, 0.222, 0.444]]}

(10)
{"formula": "TbGa2Sn2", "functional": "PBE", "state": "relaxed", "delta_e_f_ev_per_atom": -0.3413, "m_tot_mub_per_fu": 0.00, "energy_ha_per_atom": -0.1499, "crystal_system": "orthorhombic", "lattice": [[4.677, 0.000, 0.000], [0.000, 4.652, 0.000], [-2.339, 0.000, 10.578]], "species": ["Tb", "Tb", "Ga", "Ga", "Ga", "Ga", "Sn", "Sn", "Sn", "Sn"], "fractional_positions": [[0.365, 0.250, 0.731], [0.635, 0.750, 0.269], [0.037, 0.750, 0.074], [0.469, 0.750, 0.939], [0.963, 0.250, 0.926], [0.531, 0.250, 0.061], [0.749, 0.250, 0.498], [0.251, 0.750, 0.502], [0.874, 0.750, 0.748], [0.126, 0.250, 0.252]]}

(11)
{"formula": "TbGaSn2", "functional": "PBE", "state": "relaxed", "delta_e_f_ev_per_atom": -0.4764, "polymorph_energy_ev_per_atom": 0.000, "m_tot_mub_per_fu": 0.00, "energy_ha_per_atom": -0.1614, "crystal_system": "tetragonal", "lattice": [[-4.169, 0.121, -1.490], [1.187, -2.417, -3.516], [0.485, -2.959, 4.987]], "species": ["Tb", "Ga", "Sn", "Sn"], "fractional_positions": [[0.000, 0.000, 0.000], [0.500, 0.500, 0.000], [0.250, 0.750, 0.500], [0.750, 0.250, 0.500]]}

(12)
{"formula": "TbTmGaSn", "functional": "PBE", "state": "relaxed", "delta_e_f_ev_per_atom": -0.5299, "polymorph_energy_ev_per_atom": 0.154, "m_tot_mub_per_fu": 0.00, "energy_ha_per_atom": -0.1677, "crystal_system": "cubic", "lattice": [[-0.403, 3.957, 3.344], [-0.896, -0.932, 5.033], [3.746, 0.833, 3.504]], "species": ["Tm", "Tb", "Sn", "Ga"], "fractional_positions": [[0.250, 0.250, 0.250], [0.750, 0.750, 0.750], [0.500, 0.500, 0.500], [0.000, 0.000, 0.000]]}

(13)
{"formula": "Tb2Tm2Ga4Sn", "functional": "PBE", "state": "relaxed", "delta_e_f_ev_per_atom": -0.1455, "m_tot_mub_per_fu": 0.00, "energy_ha_per_atom": -0.1455, "crystal_system": "tetragonal", "lattice": [[6.810, 0.065, 0.094], [-3.212, 6.005, -0.094], [-3.212, -2.198, 5.589]], "species": ["Tb", "Tb", "Tm", "Tm", "Ga", "Ga", "Ga", "Ga", "Sn"], "fractional_positions": [[0.000, 0.691, 0.691], [0.000, 0.309, 0.309], [0.500, 0.750, 0.250], [0.500, 0.250, 0.750], [0.000, 0.734, 0.266], [0.469, 0.734, 0.734], [0.000, 0.266, 0.734], [0.531, 0.266, 0.266], [0.000, 0.000, 0.000]]}

(14)
{"formula": "TbTmGaSn", "functional": "PBE", "state": "relaxed", "delta_e_f_ev_per_atom": -0.6843, "polymorph_energy_ev_per_atom": 0.000, "m_tot_mub_per_fu": 0.00, "energy_ha_per_atom": -0.1734, "crystal_system": "orthorhombic", "lattice": [[4.441, 0.000, 0.000], [0.000, 4.143, 0.000], [-2.220, 0.000, 5.545]], "species": ["Tb", "Tm", "Ga", "Sn"], "fractional_positions": [[0.136, 0.000, 0.272], [0.858, 0.500, 0.715], [0.588, 0.500, 0.176], [0.419, 0.000, 0.837]]}

(15)
{"formula": "TbYGaSn", "functional": "PBE", "state": "relaxed", "delta_e_f_ev_per_atom": -0.7234, "polymorph_energy_ev_per_atom": 0.000, "m_tot_mub_per_fu": 0.00, "energy_ha_per_atom": -0.1931, "crystal_system": "orthorhombic", "lattice": [[-3.839, -2.292, -0.058], [0.953, -1.501, -3.772], [4.485, -3.210, 2.411]], "species": ["Tb", "Y", "Ga", "Sn"], "fractional_positions": [[0.136, 0.000, 0.272], [0.857, 0.500, 0.714], [0.587, 0.500, 0.174], [0.420, 0.000, 0.840]]}

(16)
{"formula": "Tb2Y2Ga4Sn", "functional": "PBE", "state": "relaxed", "delta_e_f_ev_per_atom": -0.1869, "m_tot_mub_per_fu": 0.00, "energy_ha_per_atom": -0.1633, "crystal_system": "tetragonal", "lattice": [[-5.263, 1.283, 4.147], [-1.081, -4.321, -5.168], [5.242, -3.506, 2.603]], "species": ["Tb", "Tb", "Y", "Y", "Ga", "Ga", "Ga", "Ga", "Sn"], "fractional_positions": [[0.000, 0.689, 0.689], [0.000, 0.311, 0.311], [0.500, 0.750, 0.250], [0.500, 0.250, 0.750], [0.000, 0.736, 0.264], [0.471, 0.736, 0.736], [0.000, 0.264, 0.736], [0.529, 0.264, 0.264], [0.000, 0.000, 0.000]]}

(17)
{"formula": "TbYGaSn", "functional": "PBE", "state": "relaxed", "delta_e_f_ev_per_atom": -0.5600, "polymorph_energy_ev_per_atom": 0.163, "m_tot_mub_per_fu": 0.00, "energy_ha_per_atom": -0.1871, "crystal_system": "cubic", "lattice": [[-0.241, 4.842, 1.973], [-4.325, 1.607, 2.472], [0.063, 0.720, 5.184]], "species": ["Y", "Tb", "Sn", "Ga"], "fractional_positions": [[0.750, 0.750, 0.750], [0.250, 0.250, 0.250], [0.000, 0.000, 0.000], [0.500, 0.500, 0.500]]}

(18)
{"formula": "GaTcSn3", "functional": "PBE", "state": "relaxed", "delta_e_f_ev_per_atom": 0.2886, "polymorph_energy_ev_per_atom": 0.000, "m_tot_mub_per_fu": 0.78, "energy_ha_per_atom": -0.1761, "crystal_system": "cubic", "lattice": [[5.187, 0.000, 0.000], [0.000, 5.187, 0.000], [0.000, 0.000, 5.187]], "species": ["Sn", "Sn", "Sn", "Ga", "Tc"], "fractional_positions": [[0.000, 0.500, 0.000], [0.000, 0.000, 0.500], [0.500, 0.000, 0.000], [0.500, 0.500, 0.500], [0.000, 0.000, 0.000]]}

(19)
{"formula": "GaTc2Sn2", "functional": "PBE", "state": "relaxed", "delta_e_f_ev_per_atom": 0.0517, "polymorph_energy_ev_per_atom": 0.000, "m_tot_mub_per_fu": 0.00, "energy_ha_per_atom": -0.2316, "crystal_system": "tetragonal", "lattice": [[-2.144, -3.083, -5.604], [5.027, -4.466, 0.534], [-2.357, -2.388, 2.216]], "species": ["Sn", "Sn", "Sn", "Sn", "Ga", "Ga", "Tc", "Tc", "Tc", "Tc"], "fractional_positions": [[0.159, 0.659, 0.500], [0.659, 0.841, 0.500], [0.841, 0.341, 0.500], [0.341, 0.159, 0.500], [0.000, 0.000, 0.000], [0.500, 0.500, 0.000], [0.355, 0.855, 0.000], [0.855, 0.645, 0.000], [0.645, 0.145, 0.000], [0.145, 0.355, 0.000]]}

(20)
{"formula": "GaTcSn3", "functional": "PBE", "state": "relaxed", "delta_e_f_ev_per_atom": 1.1361, "polymorph_energy_ev_per_atom": 0.848, "m_tot_mub_per_fu": 3.67, "energy_ha_per_atom": -0.1449, "crystal_system": "cubic", "lattice": [[5.234, 0.000, 0.000], [0.000, 5.234, 0.000], [0.000, 0.000, 5.234]], "species": ["Sn", "Sn", "Sn", "Ga", "Tc"], "fractional_positions": [[0.000, 0.500, 0.000], [0.000, 0.000, 0.500], [0.500, 0.000, 0.000], [0.000, 0.000, 0.000], [0.500, 0.500, 0.500]]}